Computed, not measured: crystalline ZnGaCoF2 at its relaxed geometry at the GGA+U level of DFT.

a = 3.929 Å, b = 3.929 Å, c = 5.378 Å
α = 90.00°, β = 90.00°, γ = 90.00°
Site moments in Bohr magnetons follow the coordinates.
Atoms (fractional coordinates):
Zn 0.000 0.000 0.500  -0.03
Co 0.000 0.000 0.000  2.52
Ga 0.500 0.500 0.500  -0.01
F 0.000 0.500 0.000  0.05
F 0.500 0.000 0.000  0.05

Calculated values
- space-group type = P4/mmm
- raw total energy (eV per atom) = -3.56